This record from Alexandria via LeMat-Bulk describes an optimized crystal structure of CrNiF. The functional is GGA+U.

```
data_CrNiF
_cell_length_a 2.856
_cell_length_b 3.065
_cell_length_c 10.752
_cell_angle_alpha 90.00
_cell_angle_beta 90.00
_cell_angle_gamma 117.77
_space_group_name_H-M_alt 'P 1'
_space_group_IT_number 1
loop_
_space_group_symop_operation_xyz
'x,y,z'
loop_
_atom_site_label
_atom_site_fract_x
_atom_site_fract_y
_atom_site_fract_z
Ni1 0.194 0.388 0.804
Cr1 0.393 0.786 0.500
Cr2 0.496 0.991 0.000
F1 0.695 0.389 0.644
F2 0.695 0.389 0.356
Ni2 0.194 0.388 0.196
```

Properties
V = 83.3 Å³ per cell
Symmetry = No. 38
Total DFT energy (no corrections) = -4.384 eV per atom